No. 1
First-principles (PBE-GGA) data for Tm5Tl2Si after structural relaxation, as listed in Alexandria via LeMat-Bulk.

Output
- formation energy from raw total energies (meV/atom) = -386

abc: 4.8620 6.9041 12.4549
angles: 90.00 90.00 90.00
Sites, in units of the cell vectors:
Tm  0.5000  0.6675  0.4122
Tm  0.0000  0.6394  0.7187
Tm  0.5000  0.8325  0.9122
Tm  0.0000  0.0000  0.5000
Tm  0.0000  0.3606  0.2813
Tm  0.0000  0.5000  0.0000
Tm  0.0000  0.8606  0.2187
Tm  0.0000  0.1394  0.7813
Tm  0.5000  0.3325  0.5878
Tm  0.5000  0.1675  0.0878
Tl  0.5000  0.9002  0.6601
Tl  0.5000  0.4002  0.8399
Tl  0.5000  0.5998  0.1601
Tl  0.5000  0.0998  0.3399
Si  0.0000  0.0000  0.0000
Si  0.0000  0.5000  0.5000

***

No. 2
First-principles (PBE-GGA) data for Y3ErTm2 after structural relaxation, as listed in Alexandria via LeMat-Bulk.

abc: 6.1167 7.0676 9.3498
angles: 112.21 90.02 90.00
Sites, in units of the cell vectors:
Y  0.9169  0.7081  0.6664
Y  0.2500  0.3750  0.0000
Y  0.0831  0.2919  0.3336
Y  0.5831  0.0417  0.3336
Y  0.7500  0.6250  0.0000
Y  0.4169  0.9583  0.6664
Er  0.7500  0.1250  0.0000
Er  0.2500  0.8750  0.0000
Tm  0.9170  0.2083  0.6665
Tm  0.5830  0.5418  0.3335
Tm  0.4170  0.4582  0.6665
Tm  0.0830  0.7917  0.3335

***

| no. | E (eV per atom) |
| --- | --- |
| 1 | -4.45 |
| 2 | -5.45 |